CaLaAu2: PBEsol geometry, meta-GGA SCAN.

Cell and atoms, written as extended XYZ:
```
4
Lattice="0.0000 3.6424 3.6424 3.6424 0.0000 3.6424 3.6424 3.6424 0.0000" Properties=species:S:1:pos:R:3 pbc="T T T"
Ca 0.0000 0.0000 0.0000
La 3.6424 3.6424 3.6424
Au 1.8212 1.8212 1.8212
Au 5.4636 5.4636 5.4636
```

**Magnetization**: 0.00 μB per formula unit
**ρ**: 9.844 g/cm³
**SG**: Fm-3m, No. 225
**E**: -48.79 eV/atom

LaInPO2: PBEsol geometry, meta-GGA SCAN.

Cell and atoms, written as extended XYZ:
```
5
Lattice="4.2021 0.0000 0.0000 0.0000 4.2021 0.0000 0.0000 0.0000 6.2553" Properties=species:S:1:pos:R:3 pbc="T T T"
La 0.0000 0.0000 0.0000
In 2.1010 2.1010 3.1277
P 0.0000 0.0000 3.1277
O 0.0000 2.1010 0.0000
O 2.1010 0.0000 0.0000
```

**Magnetization**: 0.01 μB per formula unit
**ρ**: 4.761 g/cm³
**SG**: P4/mmm, No. 123
**Uncorrected formation energy**: -1046.3 meV per atom
**E**: -20.92 eV/atom

Ta5Rh: PBEsol geometry, meta-GGA SCAN.

Cell and atoms, written as extended XYZ:
```
6
Lattice="1.6264 -6.7764 0.0000 1.6264 6.7764 0.0000 0.0000 0.0000 4.5801" Properties=species:S:1:pos:R:3 pbc="T T T"
Ta 0.0000 0.0000 0.0000
Ta 1.6264 4.5654 2.2900
Ta 1.6264 2.2579 0.0000
Ta 1.6264 -2.2579 0.0000
Ta 1.6264 -4.5654 2.2900
Rh 1.6264 0.0000 2.2900
```

**Magnetization**: 0.00 μB per formula unit
**ρ**: 16.574 g/cm³
**SG**: Cmmm, No. 65
**E**: -61.35 eV/atom

RbNi2BP: PBEsol geometry, meta-GGA SCAN.

Cell and atoms, written as extended XYZ:
```
5
Lattice="4.4003 0.0000 0.0000 0.0000 4.4003 0.0000 0.0000 0.0000 4.0675" Properties=species:S:1:pos:R:3 pbc="T T T"
Rb 0.0000 0.0000 0.0000
Ni 0.0000 2.2002 2.0338
Ni 2.2002 0.0000 2.0338
B 2.2002 2.2002 0.0000
P 2.2002 2.2002 2.0338
```

**Magnetization**: 0.00 μB per formula unit
**ρ**: 5.158 g/cm³
**SG**: P4/mmm, No. 123
**E**: -13.39 eV/atom